Record 1
Below is a geometry-optimized Er2PtAu structure, with properties calculated at the PBE level.

energy relative to the elements	-1.010	eV per atom

a b c (Å): 4.075 4.075 7.196
angles (deg): 73.55 73.55 60.00
Sites, in units of the cell vectors:
1 Au 0.500 0.500 0.500
2 Pt 0.000 0.000 0.000
3 Er 0.256 0.256 0.232
4 Er 0.744 0.744 0.768

---

Record 2
Below is a geometry-optimized Nd4YEr3 structure, with properties calculated at the PBE level.

energy relative to the elements	0.026	eV per atom

a b c (Å): 6.315 7.331 11.559
angles (deg): 90.00 90.00 90.00
Sites, in units of the cell vectors:
1 Nd 0.142 0.873 0.000
2 Nd 0.650 0.129 0.000
3 Nd 0.981 0.128 0.253
4 Nd 0.481 0.872 0.247
5 Nd 0.150 0.871 0.500
6 Nd 0.642 0.127 0.500
7 Nd 0.481 0.872 0.753
8 Nd 0.981 0.128 0.747
9 Y 0.150 0.378 0.000
10 Y 0.650 0.622 0.500
11 Er 0.647 0.619 0.000
12 Er 0.982 0.621 0.250
13 Er 0.482 0.379 0.250
14 Er 0.147 0.381 0.500
15 Er 0.482 0.379 0.750
16 Er 0.982 0.621 0.750

---

Record 3
Below is a geometry-optimized CaMg2Os structure, with properties calculated at the PBE level.

energy relative to the elements	0.622	eV per atom

a b c (Å): 4.305 4.305 10.251
angles (deg): 77.88 77.88 90.00
Sites, in units of the cell vectors:
1 Ca 0.500 0.500 0.000
2 Ca 0.250 0.750 0.500
3 Os 0.000 0.000 0.000
4 Os 0.750 0.250 0.500
5 Mg 0.681 0.125 0.250
6 Mg 0.069 0.625 0.250
7 Mg 0.375 0.319 0.750
8 Mg 0.875 0.931 0.750

---

Record 4
Below is a geometry-optimized Th4BiSb2Se structure, with properties calculated at the PBE level.

formation energy (no corrections)	-0.95	eV per atom

a b c (Å): 4.479 7.696 7.733
angles (deg): 70.28 90.00 90.00
Sites, in units of the cell vectors:
1 Th 0.000 0.737 0.770
2 Th 0.000 0.263 0.230
3 Th 0.500 0.748 0.233
4 Th 0.500 0.252 0.767
5 Bi 0.000 0.500 0.500
6 Sb 0.000 0.000 0.000
7 Sb 0.500 0.000 0.500
8 Se 0.500 0.500 0.000

---

Record 5
Below is a geometry-optimized Tl2PAu6 structure, with properties calculated at the PBE level.

energy relative to the elements	0.047	eV per atom

a b c (Å): 6.055 6.162 6.111
angles (deg): 75.62 90.00 119.43
Sites, in units of the cell vectors:
1 Tl 0.627 0.255 0.178
2 Tl 0.373 0.745 0.822
3 P 0.000 0.000 0.000
4 Au 0.885 0.289 0.707
5 Au 0.882 0.763 0.691
6 Au 0.404 0.289 0.707
7 Au 0.115 0.711 0.293
8 Au 0.118 0.237 0.309
9 Au 0.596 0.711 0.293

---

Record 6
Below is a geometry-optimized LiTl3Cu2F9 structure, with properties calculated at the PBE level.

formation energy (no corrections)	-1.80	eV per atom

a b c (Å): 5.832 5.832 7.157
angles (deg): 90.00 90.00 120.00
Site moments in Bohr magnetons follow the coordinates.
Sites, in units of the cell vectors:
1 Li 0.000 0.000 0.500  0.01
2 Tl 0.333 0.667 0.650  0.06
3 Tl 0.000 0.000 0.000  0.06
4 Tl 0.667 0.333 0.350  0.06
5 Cu 0.333 0.667 0.166  0.85
6 Cu 0.667 0.333 0.834  0.85
7 F 0.829 0.171 0.675  0.10
8 F 0.829 0.659 0.675  0.10
9 F 0.341 0.171 0.675  0.10
10 F 0.659 0.829 0.325  0.10
11 F 0.171 0.341 0.325  0.10
12 F 0.171 0.829 0.325  0.10
13 F 0.500 0.000 0.000  0.13
14 F 0.000 0.500 0.000  0.13
15 F 0.500 0.500 0.000  0.13

---

Record 7
Below is a geometry-optimized CePuTc structure, with properties calculated at the PBE level.

energy above the lowest structure with this stoichiometry	0.012	eV per atom
energy relative to the elements	-0.023	eV per atom

a b c (Å): 3.269 4.683 4.683
angles (deg): 120.00 90.00 90.00
Site moments in Bohr magnetons follow the coordinates.
Sites, in units of the cell vectors:
1 Tc 0.979 0.000 0.000  -0.49
2 Ce 0.352 0.667 0.333  0.57
3 Pu 0.670 0.333 0.667  5.06

---

Record 8
Below is a geometry-optimized YGeBiI2 structure, with properties calculated at the PBE level.

formation energy (no corrections)	0.53	eV per atom

a b c (Å): 5.988 6.238 5.988
angles (deg): 90.00 90.00 90.00
Site moments in Bohr magnetons follow the coordinates.
Sites, in units of the cell vectors:
1 I 0.000 0.000 0.500  0.01
2 I 0.500 0.000 0.000  0.02
3 Y 0.000 0.500 0.000  -0.01
4 Ge 0.500 0.500 0.500  0.27
5 Bi 0.000 0.000 0.000  0.00

---

Record 9
Below is a geometry-optimized TiAlTcRh structure, with properties calculated at the PBE level.

energy above the lowest structure with this stoichiometry	0.000	eV per atom
energy relative to the elements	-0.755	eV per atom

a b c (Å): 3.080 4.222 4.414
angles (deg): 90.00 90.00 90.00
Sites, in units of the cell vectors:
1 Ti 0.000 0.000 0.000
2 Al 0.000 0.500 0.500
3 Tc 0.500 0.500 0.000
4 Rh 0.500 0.000 0.500

---

Record 10
Below is a geometry-optimized Be2ZnSi structure, with properties calculated at the PBE level.

energy above the lowest structure with this stoichiometry	0.031	eV per atom
formation energy (no corrections)	0.30	eV per atom

a b c (Å): 2.433 3.448 5.695
angles (deg): 90.00 90.00 90.00
Sites, in units of the cell vectors:
1 Be 0.000 0.000 0.039
2 Be 0.500 0.500 0.223
3 Zn 0.500 0.500 0.787
4 Si 0.000 0.000 0.451

---

Record 11
Below is a geometry-optimized Hf2VRe structure, with properties calculated at the PBE level.

energy relative to the elements	0.606	eV per atom

a b c (Å): 7.333 7.333 5.904
angles (deg): 51.61 51.61 90.00
Site moments in Bohr magnetons follow the coordinates.
Sites, in units of the cell vectors:
1 Re 0.000 0.000 0.000  0.03
2 Re 0.750 0.250 0.500  0.03
3 Hf 0.633 0.125 0.250  0.02
4 Hf 0.117 0.625 0.250  0.02
5 Hf 0.375 0.367 0.750  0.02
6 Hf 0.875 0.883 0.750  0.02
7 V 0.500 0.500 0.000  1.04
8 V 0.250 0.750 0.500  1.04

---

Record 12
Below is a geometry-optimized Tb2LuNi structure, with properties calculated at the PBE level.

energy above the lowest structure with this stoichiometry	0.000	eV per atom
energy relative to the elements	-0.139	eV per atom

a b c (Å): 3.473 3.473 8.372
angles (deg): 90.00 90.00 90.00
Sites, in units of the cell vectors:
1 Ni 0.500 0.500 0.000
2 Lu 0.500 0.500 0.500
3 Tb 0.000 0.000 0.807
4 Tb 0.000 0.000 0.193

---

Record 13
Below is a geometry-optimized LaMoPb2 structure, with properties calculated at the PBE level.

energy above the lowest structure with this stoichiometry	0.166	eV per atom
energy relative to the elements	0.327	eV per atom

a b c (Å): 3.335 3.335 9.973
angles (deg): 90.00 90.00 111.29
Site moments in Bohr magnetons follow the coordinates.
Sites, in units of the cell vectors:
1 La 0.500 0.500 0.250  0.00
2 Mo 0.500 0.500 0.750  -0.65
3 Pb 0.000 0.000 0.966  0.02
4 Pb 0.000 0.000 0.534  0.02

---

Record 14
Below is a geometry-optimized LiHo2RuO6 structure, with properties calculated at the PBE level.

formation energy (no corrections)	-2.41	eV per atom

a b c (Å): 5.487 5.487 5.755
angles (deg): 61.53 61.53 60.00
Site moments in Bohr magnetons follow the coordinates.
Sites, in units of the cell vectors:
1 Li 0.797 0.797 0.608  0.01
2 Ho 0.530 0.530 0.410  0.07
3 Ho 0.026 0.026 0.922  0.04
4 Ru 0.322 0.322 0.035  1.94
5 O 0.579 0.204 0.246  0.16
6 O 0.204 0.972 0.246  0.16
7 O 0.972 0.579 0.246  0.16
8 O 0.439 0.680 0.768  0.09
9 O 0.680 0.114 0.768  0.09
10 O 0.114 0.439 0.768  0.09

---

Record 15
Below is a geometry-optimized Sm2S2F structure, with properties calculated at the PBE level.

energy above the lowest structure with this stoichiometry	1.440	eV per atom
formation energy (no corrections)	-0.87	eV per atom

a b c (Å): 3.711 3.711 11.527
angles (deg): 90.00 90.00 90.00
Sites, in units of the cell vectors:
1 Sm 0.500 0.500 0.195
2 Sm 0.500 0.500 0.805
3 S 0.500 0.500 0.585
4 S 0.500 0.500 0.415
5 F 0.500 0.500 0.000

---

Record 16
Below is a geometry-optimized Li8Mg3Pb4 structure, with properties calculated at the PBE level.

energy relative to the elements	-0.244	eV per atom

a b c (Å): 9.559 9.559 9.559
angles (deg): 60.00 60.00 60.00
Sites, in units of the cell vectors:
1 Li 0.613 0.129 0.129
2 Li 0.387 0.871 0.871
3 Li 0.129 0.129 0.613
4 Li 0.129 0.129 0.129
5 Li 0.871 0.871 0.387
6 Li 0.871 0.871 0.871
7 Li 0.129 0.613 0.129
8 Li 0.871 0.387 0.871
9 Li 0.954 0.349 0.349
10 Li 0.046 0.651 0.651
11 Li 0.349 0.349 0.954
12 Li 0.349 0.349 0.349
13 Li 0.651 0.651 0.046
14 Li 0.651 0.651 0.651
15 Li 0.349 0.954 0.349
16 Li 0.651 0.046 0.651
17 Mg 0.738 0.738 0.262
18 Mg 0.262 0.262 0.738
19 Mg 0.738 0.262 0.262
20 Mg 0.262 0.738 0.738
21 Mg 0.738 0.262 0.738
22 Mg 0.262 0.738 0.262
23 Pb 0.000 0.000 0.000
24 Pb 0.500 0.500 0.000
25 Pb 0.000 0.000 0.500
26 Pb 0.500 0.000 0.000
27 Pb 0.000 0.500 0.500
28 Pb 0.500 0.000 0.500
29 Pb 0.000 0.500 0.000
30 Pb 0.500 0.500 0.500

---

Record 17
Below is a geometry-optimized PmDy2Er6Tm3 structure, with properties calculated at the PBE level.

energy relative to the elements	0.022	eV per atom

a b c (Å): 6.091 6.091 11.657
angles (deg): 94.99 94.99 119.93
Sites, in units of the cell vectors:
1 Pm 0.000 0.000 0.000
2 Dy 0.333 0.667 0.000
3 Dy 0.667 0.333 0.000
4 Er 0.915 0.581 0.747
5 Er 0.751 0.751 0.253
6 Er 0.085 0.419 0.253
7 Er 0.581 0.915 0.747
8 Er 0.249 0.249 0.747
9 Er 0.419 0.085 0.253
10 Tm 0.167 0.833 0.500
11 Tm 0.833 0.167 0.500
12 Tm 0.500 0.500 0.500

---

Record 18
Below is a geometry-optimized Rb2Na12Tl3Hg structure, with properties calculated at the PBE level.

energy relative to the elements	0.045	eV per atom

a b c (Å): 12.728 12.728 12.728
angles (deg): 39.05 39.05 39.05
Sites, in units of the cell vectors:
1 Rb 0.654 0.654 0.654
2 Rb 0.346 0.346 0.346
3 Na 0.412 0.412 0.819
4 Na 0.934 0.934 0.342
5 Na 0.342 0.934 0.934
6 Na 0.819 0.412 0.412
7 Na 0.934 0.342 0.934
8 Na 0.412 0.819 0.412
9 Na 0.588 0.588 0.181
10 Na 0.066 0.066 0.658
11 Na 0.658 0.066 0.066
12 Na 0.181 0.588 0.588
13 Na 0.066 0.658 0.066
14 Na 0.588 0.181 0.588
15 Tl 0.500 0.000 0.000
16 Tl 0.000 0.500 0.000
17 Tl 0.000 0.000 0.500
18 Hg 0.000 0.000 0.000

---

Record 19
Below is a geometry-optimized ErNpBi2 structure, with properties calculated at the PBE level.

energy above the lowest structure with this stoichiometry	0.168	eV per atom
energy relative to the elements	-0.174	eV per atom

a b c (Å): 5.456 5.456 5.456
angles (deg): 60.00 60.00 60.00
Site moments in Bohr magnetons follow the coordinates.
Sites, in units of the cell vectors:
1 Np 0.000 0.000 0.000  4.14
2 Bi 0.250 0.250 0.250  -0.09
3 Bi 0.750 0.750 0.750  -0.09
4 Er 0.500 0.500 0.500  0.20

---

Record 20
Below is a geometry-optimized TePOs3 structure, with properties calculated at the PBE level.

energy above the lowest structure with this stoichiometry	0.000	eV per atom
formation energy (no corrections)	1.07	eV per atom

a b c (Å): 4.446 4.446 4.446
angles (deg): 90.00 90.00 90.00
Sites, in units of the cell vectors:
1 P 0.000 0.000 0.000
2 Te 0.500 0.500 0.500
3 Os 0.000 0.500 0.000
4 Os 0.000 0.000 0.500
5 Os 0.500 0.000 0.000

---

Record 21
Below is a geometry-optimized Mg5Cd2BiRh2 structure, with properties calculated at the PBE level.

energy relative to the elements	-0.224	eV per atom

a b c (Å): 4.118 10.030 10.030
angles (deg): 90.00 90.00 90.00
Sites, in units of the cell vectors:
1 Mg 0.500 0.214 0.082
2 Mg 0.500 0.786 0.918
3 Mg 0.500 0.082 0.786
4 Mg 0.500 0.714 0.418
5 Mg 0.500 0.918 0.214
6 Mg 0.500 0.286 0.582
7 Mg 0.500 0.582 0.714
8 Mg 0.500 0.418 0.286
9 Mg 0.500 0.500 0.000
10 Mg 0.500 0.000 0.500
11 Cd 0.000 0.672 0.172
12 Cd 0.000 0.328 0.828
13 Cd 0.000 0.172 0.328
14 Cd 0.000 0.828 0.672
15 Bi 0.000 0.000 0.000
16 Bi 0.000 0.500 0.500
17 Rh 0.000 0.118 0.618
18 Rh 0.000 0.882 0.382
19 Rh 0.000 0.618 0.882
20 Rh 0.000 0.382 0.118

---

Record 22
Below is a geometry-optimized Ac4Nd2Hg3N2 structure, with properties calculated at the PBE level.

formation energy (no corrections)	-0.58	eV per atom

a b c (Å): 5.195 5.195 13.224
angles (deg): 101.33 101.33 90.00
Sites, in units of the cell vectors:
1 Ac 0.412 0.912 0.824
2 Ac 0.912 0.412 0.824
3 Ac 0.088 0.588 0.176
4 Ac 0.588 0.088 0.176
5 Nd 0.300 0.300 0.600
6 Nd 0.700 0.700 0.400
7 Hg 0.000 0.000 0.000
8 Hg 0.176 0.176 0.352
9 Hg 0.824 0.824 0.648
10 N 0.389 0.389 0.778
11 N 0.611 0.611 0.222

---

Record 23
Below is a geometry-optimized Pm6DyAl2 structure, with properties calculated at the PBE level.

energy relative to the elements	-0.145	eV per atom

a b c (Å): 3.771 6.690 11.702
angles (deg): 75.81 80.73 73.63
Sites, in units of the cell vectors:
1 Pm 0.686 0.505 0.124
2 Pm 0.314 0.495 0.876
3 Pm 0.311 0.787 0.591
4 Pm 0.975 0.726 0.325
5 Pm 0.025 0.274 0.675
6 Pm 0.689 0.213 0.409
7 Dy 0.000 0.000 0.000
8 Al 0.352 0.099 0.197
9 Al 0.648 0.901 0.803